1.
Entry from Alexandria: a relaxed BPdNF2 crystal (GGA-PBEsol).

a = 2.717 Å, b = 4.261 Å, c = 4.261 Å
α = 90.00°, β = 90.00°, γ = 90.00°
Last column: magnetic moment on the atom in μB.
Element x y z (fractional)
B1 0.000 0.000 0.000  -0.02
F1 0.000 0.000 0.500  0.18
F2 0.000 0.500 0.000  0.18
N1 0.500 0.000 0.000  0.38
Pd1 0.500 0.500 0.500  1.13

total moment = 2.00 Bohr magnetons per cell
E = -5.429 eV per atom
space group = P4/mmm, No. 123

2.
Entry from Alexandria: a relaxed BRuN2F crystal (GGA-PBEsol).

a = 3.015 Å, b = 3.568 Å, c = 3.568 Å
α = 90.00°, β = 90.00°, γ = 90.00°
Last column: magnetic moment on the atom in μB.
Element x y z (fractional)
B1 0.000 0.000 0.000  0.01
N1 0.000 0.500 0.000  -0.01
N2 0.000 0.000 0.500  -0.01
Ru1 0.500 0.500 0.500  0.96
F1 0.500 0.000 0.000  0.03

total moment = 1.00 Bohr magnetons per cell
E = -6.597 eV per atom
space group = P4/mmm, No. 123

3.
Entry from Alexandria: a relaxed BRuN2F crystal (GGA-PBEsol).

a = 3.750 Å, b = 3.750 Å, c = 4.083 Å
α = 90.00°, β = 90.00°, γ = 90.00°
Element x y z (fractional)
N1 0.000 0.500 0.000
N2 0.500 0.000 0.000
Ru1 0.000 0.000 0.000
B1 0.500 0.500 0.500
F1 0.000 0.000 0.500

total moment = 0.00 Bohr magnetons per cell
E = -6.140 eV per atom
space group = P4/mmm, No. 123

4.
Entry from Alexandria: a relaxed BSbN2F crystal (GGA-PBEsol).

a = 3.548 Å, b = 3.539 Å, c = 3.539 Å
α = 90.00°, β = 90.00°, γ = 90.00°
Element x y z (fractional)
N1 0.000 0.500 0.000
N2 0.000 0.000 0.500
B1 0.000 0.000 0.000
Sb1 0.500 0.500 0.500
F1 0.500 0.000 0.000

total moment = 0.00 Bohr magnetons per cell
E = -5.883 eV per atom
space group = P4/mmm, No. 123